(1)
Entry from the Alexandria database: CsU2HgBr8 after structural relaxation (PBE).

Lattice parameters (Å, degrees): 8.1241 8.1241 8.3139 90.00 90.00 120.00
Last column: nearest neighbours and their distance in Å.
Sites, in units of the cell vectors:
Cs1 0.0000 0.0000 0.0000  2 Hg 4.16, 6 Br 4.18
U1 0.3333 0.6667 0.4240  7 Br 2.77-2.98
U2 0.6667 0.3333 0.5760  7 Br 2.77-2.98
Hg1 0.0000 0.0000 0.5000  6 Br 3.40
Br1 0.0538 0.4072 0.6642  2 U 2.97-2.98
Br2 0.3333 0.6667 0.0908  1 U 2.77
Br3 0.3534 0.9462 0.6642  2 U 2.97-2.98
Br4 0.4072 0.3534 0.3358  2 U 2.97-2.98
Br5 0.5928 0.6466 0.6642  2 U 2.97-2.98
Br6 0.6466 0.0538 0.3358  2 U 2.97-2.98
Br7 0.6667 0.3333 0.9092  1 U 2.77
Br8 0.9462 0.5928 0.3358  2 U 2.97-2.98

Output
uncorrected energy = -51.713 eV for the cell shown
N(E_F) = 14.848 states/eV/f.u.

=====

(2)
Entry from the Alexandria database: CsUHgBr6 after structural relaxation (PBE).

Lattice parameters (Å, degrees): 8.9466 8.9466 12.6489 90.00 90.00 120.00
Last column: nearest neighbours and their distance in Å.
Sites, in units of the cell vectors:
Cs1 0.3333 0.6667 0.2500  6 Br 3.77
Cs2 0.6667 0.3333 0.7500  6 Br 3.77
U1 0.3333 0.6667 0.7500  6 Br 2.70
U2 0.6667 0.3333 0.2500  6 Br 2.70
Hg1 0.0000 0.0000 0.0000  6 Br 3.79
Hg2 0.0000 0.0000 0.5000  6 Br 3.79
Br1 0.0861 0.4203 0.6265  1 U 2.70
Br2 0.0861 0.6657 0.8735  1 U 2.70
Br3 0.3343 0.4203 0.8735  1 U 2.70
Br4 0.3343 0.9139 0.6265  1 U 2.70
Br5 0.4203 0.0861 0.1265  1 U 2.70
Br6 0.4203 0.3343 0.3735  1 U 2.70
Br7 0.5797 0.6657 0.6265  1 U 2.70
Br8 0.5797 0.9139 0.8735  1 U 2.70
Br9 0.6657 0.0861 0.3735  1 U 2.70
Br10 0.6657 0.5797 0.1265  1 U 2.70
Br11 0.9139 0.3343 0.1265  1 U 2.70
Br12 0.9139 0.5797 0.3735  1 U 2.70

Output
uncorrected energy = -67.548 eV for the cell shown

=====

(3)
Entry from the Alexandria database: Cs2UHgBr6 after structural relaxation (PBE).

Lattice parameters (Å, degrees): 7.9672 12.0999 10.8513 90.00 90.00 90.00
Last column: nearest neighbours and their distance in Å.
Sites, in units of the cell vectors:
Cs1 0.2500 0.0259 0.1706  7 Br 3.70-3.98
Cs2 0.2500 0.4741 0.1706  7 Br 3.70-3.98
Cs3 0.7500 0.5259 0.8294  7 Br 3.70-3.98
Cs4 0.7500 0.9741 0.8294  7 Br 3.70-3.98
U1 0.2500 0.7500 0.8311  6 Br 2.77-2.80
U2 0.7500 0.2500 0.1689  6 Br 2.77-2.80
Hg1 0.2500 0.2500 0.6496  6 Br 3.81-4.15
Hg2 0.7500 0.7500 0.3504  6 Br 3.81-4.15
Br1 0.0032 0.2500 0.3438  1 U 2.77
Br2 0.0080 0.7500 0.0181  1 U 2.80
Br3 0.2500 0.5182 0.8335  1 U 2.80
Br4 0.2500 0.9818 0.8335  1 U 2.80
Br5 0.4920 0.7500 0.0181  1 U 2.80
Br6 0.4968 0.2500 0.3438  1 U 2.77
Br7 0.5032 0.7500 0.6562  1 U 2.77
Br8 0.5080 0.2500 0.9819  1 U 2.80
Br9 0.7500 0.0182 0.1665  1 U 2.80
Br10 0.7500 0.4818 0.1665  1 U 2.80
Br11 0.9920 0.2500 0.9819  1 U 2.80
Br12 0.9968 0.7500 0.6562  1 U 2.77

Output
uncorrected energy = -74.825 eV for the cell shown
N(E_F) = 5.522 states/eV/f.u.

=====

(4)
Entry from the Alexandria database: Cs2UHg3Br6 after structural relaxation (PBE).

Lattice parameters (Å, degrees): 8.8307 8.8307 8.6992 95.50 95.50 119.29
Last column: nearest neighbours and their distance in Å.
Sites, in units of the cell vectors:
Cs1 0.1653 0.8347 0.0000  6 Br 3.68-3.70
Cs2 0.8347 0.1653 0.0000  6 Br 3.68-3.70
U1 0.5000 0.5000 0.0000  6 Br 2.80
Hg1 0.0000 0.0000 0.5000  2 Hg 3.64, 2 Br 4.01
Hg2 0.2387 0.7613 0.5000  1 Hg 3.64, 4 Br 3.91-4.00
Hg3 0.7613 0.2387 0.5000  1 Hg 3.64, 4 Br 3.91-4.00
Br1 0.2030 0.4632 0.8149  1 U 2.80
Br2 0.2792 0.2792 0.1892  1 U 2.80
Br3 0.4632 0.2030 0.8149  1 U 2.80
Br4 0.5368 0.7970 0.1851  1 U 2.80
Br5 0.7208 0.7208 0.8108  1 U 2.80
Br6 0.7970 0.5368 0.1851  1 U 2.80

Output
uncorrected energy = -37.727 eV for the cell shown
N(E_F) = 4.960 states/eV/f.u.

=====

(5)
Entry from the Alexandria database: Cs2VHg2Br4 after structural relaxation (PBE).

Lattice parameters (Å, degrees): 7.4803 7.4803 7.4803 111.08 111.08 106.30
Last column: nearest neighbours and their distance in Å.
Sites, in units of the cell vectors:
Cs1 0.2500 0.7500 0.5000  8 Br 3.76
Cs2 0.7500 0.2500 0.5000  8 Br 3.76
V1 0.0000 0.0000 0.0000  4 Br 2.59
Hg1 0.3245 0.3245 0.0000  1 V 2.91, 1 Hg 3.15
Hg2 0.6755 0.6755 0.0000  1 V 2.91, 1 Hg 3.15
Br1 0.2166 0.2166 0.4333  1 V 2.59
Br2 0.2166 0.7834 0.0000  1 V 2.59
Br3 0.7834 0.2166 0.0000  1 V 2.59
Br4 0.7834 0.7834 0.5667  1 V 2.59

Output
uncorrected energy = -27.244 eV for the cell shown
N(E_F) = 9.214 states/eV/f.u.

=====

(6)
Entry from the Alexandria database: CsVHg2Br8 after structural relaxation (PBE).

Lattice parameters (Å, degrees): 6.8071 7.7132 9.3312 71.87 83.48 89.03
Last column: nearest neighbours and their distance in Å.
Sites, in units of the cell vectors:
Cs1 0.0000 0.0000 0.0000  8 Br 3.75-4.03
V1 0.0000 0.5000 0.5000  6 Br 2.50-2.59
Hg1 0.4739 0.5261 0.2181  3 Br 2.60-2.82
Hg2 0.5261 0.4739 0.7819  3 Br 2.60-2.82
Br1 0.1175 0.4950 0.7544  1 V 2.58, 1 Hg 2.82
Br2 0.2151 0.7741 0.3631  1 V 2.50
Br3 0.2812 0.2875 0.4533  1 V 2.59, 1 Hg 2.62
Br4 0.4970 0.7683 0.9502  1 Hg 2.60
Br5 0.5030 0.2317 0.0498  1 Hg 2.60
Br6 0.7188 0.7125 0.5467  1 V 2.59, 1 Hg 2.62
Br7 0.7849 0.2259 0.6369  1 V 2.50
Br8 0.8825 0.5050 0.2456  1 V 2.58, 1 Hg 2.82

Output
uncorrected energy = -33.591 eV for the cell shown
N(E_F) = 5.298 states/eV/f.u.

=====

(7)
Entry from the Alexandria database: CsV2HgBr8 after structural relaxation (PBE).

Lattice parameters (Å, degrees): 11.3793 11.3793 11.3793 39.12 39.12 39.12
Last column: nearest neighbours and their distance in Å.
Sites, in units of the cell vectors:
Cs1 0.0000 0.0000 0.0000  6 Br 3.84
V1 0.2612 0.2612 0.2612  4 Br 2.34-2.35
V2 0.7388 0.7388 0.7388  4 Br 2.34-2.35
Hg1 0.5000 0.5000 0.5000  6 Br 3.93
Br1 0.0014 0.5597 0.1487  1 V 2.34
Br2 0.1487 0.0014 0.5597  1 V 2.34
Br3 0.3359 0.3359 0.3359  1 V 2.35
Br4 0.4403 0.8513 0.9986  1 V 2.34
Br5 0.5597 0.1487 0.0014  1 V 2.34
Br6 0.6641 0.6641 0.6641  1 V 2.35
Br7 0.8513 0.9986 0.4403  1 V 2.34
Br8 0.9986 0.4403 0.8513  1 V 2.34

Output
uncorrected energy = -43.676 eV for the cell shown
N(E_F) = 14.090 states/eV/f.u.

=====

(8)
Entry from the Alexandria database: Cs2YHgBr6 after structural relaxation (PBE).

Lattice parameters (Å, degrees): 8.3048 8.3048 8.3048 60.00 60.00 60.00
Last column: nearest neighbours and their distance in Å.
Sites, in units of the cell vectors:
Cs1 0.2500 0.2500 0.2500  12 Br 4.15
Cs2 0.7500 0.7500 0.7500  12 Br 4.15
Y1 0.0000 0.0000 0.0000  6 Br 2.80
Hg1 0.5000 0.5000 0.5000  6 Br 3.07
Br1 0.2386 0.2386 0.7614  1 Y 2.80, 1 Hg 3.07
Br2 0.2386 0.7614 0.2386  1 Y 2.80, 1 Hg 3.07
Br3 0.2386 0.7614 0.7614  1 Y 2.80, 1 Hg 3.07
Br4 0.7614 0.2386 0.2386  1 Y 2.80, 1 Hg 3.07
Br5 0.7614 0.2386 0.7614  1 Y 2.80, 1 Hg 3.07
Br6 0.7614 0.7614 0.2386  1 Y 2.80, 1 Hg 3.07

Output
uncorrected energy = -33.534 eV for the cell shown
N(E_F) = 4.264 states/eV/f.u.